(1)
# CsKNa2Te | Alexandria via LeMat-Bulk | PBE | relaxed
# - raw formation energy (meV per atom) = -407
# - total energy (Ry/atom) = -0.1436
# - excess energy over the best structure of this formula in the dataset (eV/atom) = 0.0000
data_CsKNa2Te
_symmetry_space_group_name_H-M 'P 4/m m m'
_symmetry_Int_Tables_number 123
_symmetry_space_group_name_Hall '-P 4 2'
_cell_length_a 6.298
_cell_length_b 6.298
_cell_length_c 6.881
_cell_angle_alpha 90.00
_cell_angle_beta 90.00
_cell_angle_gamma 90.00
loop_
_atom_site_label
_atom_site_fract_x
_atom_site_fract_y
_atom_site_fract_z
Cs1 0.000 0.000 0.000
K1 0.500 0.500 0.000
Na1 0.000 0.500 0.500
Te1 0.500 0.500 0.500

=====

(2)
# Cs2KNaTe | Alexandria via LeMat-Bulk | PBE | relaxed
# - raw formation energy (meV per atom) = -481
# - total energy (Ry/atom) = -0.1422
# - excess energy over the best structure of this formula in the dataset (eV/atom) = 0.0372
data_Cs2KNaTe
_symmetry_space_group_name_H-M 'P 4/m m m'
_symmetry_Int_Tables_number 123
_symmetry_space_group_name_Hall '-P 4 2'
_cell_length_a 7.662
_cell_length_b 7.662
_cell_length_c 5.993
_cell_angle_alpha 90.00
_cell_angle_beta 90.00
_cell_angle_gamma 90.00
loop_
_atom_site_label
_atom_site_fract_x
_atom_site_fract_y
_atom_site_fract_z
Cs1 0.000 0.500 0.000
K1 0.000 0.000 0.500
Na1 0.500 0.500 0.500
Te1 0.500 0.500 0.000

=====

(3)
# CsK2NaTe | Alexandria via LeMat-Bulk | PBE | relaxed
# - raw formation energy (meV per atom) = -455
# - total energy (Ry/atom) = -0.1438
# - excess energy over the best structure of this formula in the dataset (eV/atom) = 0.0536
data_CsK2NaTe
_symmetry_space_group_name_H-M 'P 4/m m m'
_symmetry_Int_Tables_number 123
_symmetry_space_group_name_Hall '-P 4 2'
_cell_length_a 6.967
_cell_length_b 6.967
_cell_length_c 6.228
_cell_angle_alpha 90.00
_cell_angle_beta 90.00
_cell_angle_gamma 90.00
loop_
_atom_site_label
_atom_site_fract_x
_atom_site_fract_y
_atom_site_fract_z
Cs1 0.000 0.000 0.000
K1 0.000 0.500 0.500
Na1 0.500 0.500 0.000
Te1 0.500 0.500 0.500

=====

(4)
# Cs2KNa5Tl2 | Alexandria via LeMat-Bulk | PBE | relaxed
# - total energy (Ry/atom) = -0.1069
# - formation enthalpy at 0 K (meV/atom) = -41
data_Cs2KNa5Tl2
_symmetry_space_group_name_H-M 'P 4/m b m'
_symmetry_Int_Tables_number 127
_symmetry_space_group_name_Hall '-P 4 2ab'
_cell_length_a 13.484
_cell_length_b 13.484
_cell_length_c 5.202
_cell_angle_alpha 90.00
_cell_angle_beta 90.00
_cell_angle_gamma 90.00
loop_
_atom_site_label
_atom_site_fract_x
_atom_site_fract_y
_atom_site_fract_z
Cs1 0.184 0.316 0.000
K1 0.000 0.000 0.000
Na1 0.000 0.500 0.500
Na2 0.064 0.762 0.500
Tl1 0.106 0.606 0.000

=====

(5)
# CsK2NaTl | Alexandria via LeMat-Bulk | PBE | relaxed
# - total energy (Ry/atom) = -0.0982
# - excess energy over the best structure of this formula in the dataset (eV/atom) = 0.0000
# - formation enthalpy at 0 K (meV/atom) = 11
data_CsK2NaTl
_symmetry_space_group_name_H-M 'P 4/m m m'
_symmetry_Int_Tables_number 123
_symmetry_space_group_name_Hall '-P 4 2'
_cell_length_a 6.996
_cell_length_b 6.996
_cell_length_c 6.315
_cell_angle_alpha 90.00
_cell_angle_beta 90.00
_cell_angle_gamma 90.00
loop_
_atom_site_label
_atom_site_fract_x
_atom_site_fract_y
_atom_site_fract_z
Cs1 0.000 0.000 0.000
K1 0.000 0.500 0.500
Na1 0.500 0.500 0.000
Tl1 0.500 0.500 0.500

=====

(6)
# CsKNa2Tl | Alexandria via LeMat-Bulk | PBE | relaxed
# - total energy (Ry/atom) = -0.1020
# - excess energy over the best structure of this formula in the dataset (eV/atom) = 0.0000
# - formation enthalpy at 0 K (meV/atom) = 4
data_CsKNa2Tl
_symmetry_space_group_name_H-M 'P 4/m m m'
_symmetry_Int_Tables_number 123
_symmetry_space_group_name_Hall '-P 4 2'
_cell_length_a 6.313
_cell_length_b 6.313
_cell_length_c 6.836
_cell_angle_alpha 90.00
_cell_angle_beta 90.00
_cell_angle_gamma 90.00
loop_
_atom_site_label
_atom_site_fract_x
_atom_site_fract_y
_atom_site_fract_z
Cs1 0.000 0.000 0.000
K1 0.500 0.500 0.000
Na1 0.000 0.500 0.500
Tl1 0.500 0.500 0.500